Density functional theory data (GGA-PBE) for a relaxed LaTb6Sc4 crystal.

Values from the calculation:
Formation energy from the elements in eV per formula unit: 1.2
Excess energy over the best structure of this formula in the dataset in eV/f.u.: 0.00
Fermi-level density of states in states/eV/cell: 70.28

Cell: 5.5230 9.4657 25.0934 Å, 90.00 90.00 90.00°
Closest atoms and distances in Å follow each position.
Space group Cmcm (No. 63)
Asymmetric unit:
La (0.0000, 0.1761, 0.2500)  3 Tb 3.17-3.18
Tb (0.0000, 0.1564, 0.6768)  4 Sc 3.36-3.45, 3 La 3.64-3.68, 4 Tb 3.65-3.67
Tb (0.0000, 0.1751, 0.0938)  7 Sc 3.26-3.44
Tb (0.0000, 0.4895, 0.7500)  2 Sc 3.16, 3 La 3.17-3.18
Tb (0.0000, 0.5000, 0.0000)  8 Sc 3.11-3.37
Sc (0.0000, 0.1628, 0.5431)  8 Tb 3.34-3.44, 1 Sc 3.70
Sc (0.0000, 0.4895, 0.6240)  8 Tb 3.11-3.45

=====

Density functional theory data (GGA-PBE) for a relaxed La2TbSc crystal.

Values from the calculation:
Formation energy from the elements in eV per formula unit: 0.8
Excess energy over the best structure of this formula in the dataset in eV/f.u.: 0.62
Fermi-level density of states in states/eV/cell: 23.26

Cell: 3.4724 3.4724 37.0972 Å, 90.00 90.00 120.00°
Closest atoms and distances in Å follow each position.
Space group R-3m (No. 166, hexagonal axes)
Asymmetric unit:
La (0.0000, 0.0000, 0.0895)  1 Tb 3.32, 6 La 3.47, 3 Sc 3.50
Tb (0.0000, 0.0000, 0.0000)  2 La 3.32, 6 Tb 3.47
Sc (0.0000, 0.0000, 0.5000)  6 Sc 3.47, 6 La 3.50

=====

Density functional theory data (GGA-PBE) for a relaxed La3Tb12Sc crystal.

Values from the calculation:
Formation energy from the elements in eV per formula unit: 0.5
Fermi-level density of states in states/eV/cell: 25.69

Cell: 5.0669 5.0669 20.2246 Å, 90.00 90.00 90.00°
Closest atoms and distances in Å follow each position.
Space group P4/mmm (No. 123)
Asymmetric unit:
La (0.0000, 0.0000, 0.0000)  12 Tb 3.58-3.61
La (0.0000, 0.0000, 0.2527)  12 Tb 3.58-3.64
Tb (0.0000, 0.5000, 0.1271)  8 Tb 3.58-3.62, 4 La 3.59-3.61
Tb (0.0000, 0.5000, 0.3818)  8 Tb 3.48-3.60, 2 Sc 3.48, 2 La 3.64
Tb (0.5000, 0.5000, 0.0000)  4 La 3.58, 8 Tb 3.61
Tb (0.5000, 0.5000, 0.2550)  4 La 3.58, 8 Tb 3.60-3.62
Tb (0.5000, 0.5000, 0.5000)  8 Tb 3.48, 4 Sc 3.58
Sc (0.0000, 0.0000, 0.5000)  12 Tb 3.48-3.58

=====

Density functional theory data (GGA-PBE) for a relaxed LaTb2Sc crystal.

Values from the calculation:
Formation energy from the elements in eV per formula unit: 0.7
Excess energy over the best structure of this formula in the dataset in eV/f.u.: 0.53
Fermi-level density of states in states/eV/cell: 40.91

Cell: 7.9682 7.9682 7.9682 Å, 90.00 90.00 90.00°
Closest atoms and distances in Å follow each position.
Space group Fm-3m (No. 225)
Asymmetric unit:
La (0.0000, 0.0000, 0.0000)  8 Tb 3.45
Tb (0.2500, 0.2500, 0.2500)  4 La 3.45, 4 Sc 3.45
Sc (0.0000, 0.0000, 0.5000)  8 Tb 3.45

=====

Density functional theory data (GGA-PBE) for a relaxed LaTb2Sc crystal.

Values from the calculation:
Formation energy from the elements in eV per formula unit: 0.2
Excess energy over the best structure of this formula in the dataset in eV/f.u.: 0.06
Fermi-level density of states in states/eV/cell: 6.57

Cell: 4.9607 4.9607 5.0667 Å, 90.00 90.00 90.00°
Closest atoms and distances in Å follow each position.
Space group P4/mmm (No. 123)
Asymmetric unit:
La (0.0000, 0.0000, 0.0000)  4 Sc 3.51, 8 Tb 3.55
Tb (0.0000, 0.5000, 0.5000)  4 Tb 3.51, 4 Sc 3.55, 4 La 3.55
Sc (0.5000, 0.5000, 0.0000)  4 La 3.51, 8 Tb 3.55

=====

Density functional theory data (GGA-PBE) for a relaxed La8TbSc2 crystal.

Values from the calculation:
Formation energy from the elements in eV per formula unit: 1.3
Fermi-level density of states in states/eV/cell: 38.74

Cell: 5.5685 8.5950 15.8530 Å, 90.00 90.00 90.00°
Closest atoms and distances in Å follow each position.
Space group Immm (No. 71)
Asymmetric unit:
La (0.0000, 0.0000, 0.1576)  2 Sc 3.56, 8 La 3.57-3.80, 2 Tb 3.74
La (0.0000, 0.1994, 0.3551)  3 Sc 3.40-3.54, 4 La 3.43-3.61, 1 Tb 3.46
La (0.0000, 0.3041, 0.0000)  7 La 3.37-3.62, 2 Sc 3.63
Tb (0.0000, 0.5000, 0.5000)  12 La 3.46-3.82
Sc (0.0000, 0.5000, 0.2026)  10 La 3.40-3.63